# 1
VASP calculation (PBE-GGA) on an optimized crystal structure of BeCS2.

abc: 4.058 4.058 4.058
angles: 60.00 60.00 60.00
Sites, in units of the cell vectors:
Be1 0.000 0.000 0.000
C1 0.500 0.500 0.500
S1 0.250 0.250 0.250
S2 0.750 0.750 0.750

- electronic total energy (eV/f.u.) = -14.541
- magnetization (Bohr magnetons per cell) = 0.000
- formation energy from raw total energies (eV/f.u.) = 6.66
- crystal system = cubic
- energy above the lowest structure with this stoichiometry (meV/atom) = 1178.3

# 2
VASP calculation (PBE-GGA) on an optimized crystal structure of Na3CdGa.

abc: 5.714 5.714 5.714
angles: 90.00 90.00 90.00
Sites, in units of the cell vectors:
Na1 0.000 0.000 0.500
Na2 0.000 0.500 0.000
Na3 0.500 0.000 0.000
Cd1 0.000 0.000 0.000
Ga1 0.500 0.500 0.500

- electronic total energy (eV/f.u.) = -6.334
- magnetization (Bohr magnetons per cell) = 0.000
- ΔE_f (eV per atom) = 0.313
- crystal system = cubic
- energy above the lowest structure with this stoichiometry (meV/atom) = 363.0